## FePtN (PBE-GGA)

Data for a relaxed structure of FePtN.

POSCAR file:
```
FePtN
1.0
-1.533 1.533 7.701
1.533 -1.533 7.701
1.533 1.533 -7.701
Fe Pt N
2 2 2
direct
0.211 0.211 0.000
0.789 0.789 0.000
0.406 0.406 0.000
0.594 0.594 0.000
0.094 0.094 0.000
0.906 0.906 0.000
```

uncorrected formation energy: 1.79 eV per formula unit
SG: No. 139

=====

## MnTe2Mo (PBE-GGA)

Data for a relaxed structure of MnTe2Mo.

POSCAR file:
```
MnTe2Mo
1.0
-2.006 2.006 5.204
2.006 -2.006 5.204
2.006 2.006 -5.204
Mn Te Mo
1 2 1
direct
0.000 0.000 0.000
0.500 0.500 0.000
0.750 0.250 0.500
0.250 0.750 0.500
```

uncorrected formation energy: 2.25 eV per formula unit
relative energy among the computed polymorphs: 610 meV/atom
SG: No. 119

=====

## SrSm2Ag2Ge2 (PBE-GGA)

Data for a relaxed structure of SrSm2Ag2Ge2.

POSCAR file:
```
SrSm2Ag2Ge2
1.0
2.325 1.342 9.638
-2.325 1.342 9.638
0.000 -2.685 9.638
Sr Sm Ag Ge
1 2 2 2
direct
0.000 0.000 0.000
0.129 0.129 0.129
0.871 0.871 0.871
0.407 0.407 0.407
0.593 0.593 0.593
0.250 0.250 0.250
0.750 0.750 0.750
```

calculated formation energy: -10.5 kcal/mol of atoms
SG: No. 166

=====

## AlGaNO2 (PBE-GGA)

Data for a relaxed structure of AlGaNO2.

POSCAR file:
```
AlGaNO2
1.0
3.758 0.000 0.000
0.000 3.758 0.000
0.000 0.000 3.887
Al Ga N O
1 1 1 2
direct
0.000 0.000 0.000
0.500 0.500 0.500
0.500 0.500 0.000
0.000 0.500 0.500
0.500 0.000 0.500
```

uncorrected formation energy: -0.55 eV per formula unit
SG: No. 123

=====

## KPu2UO8 (PBE-GGA)

Data for a relaxed structure of KPu2UO8.

POSCAR file:
```
KPu2UO8
1.0
5.253 0.000 0.000
0.000 7.007 0.000
-0.153 0.000 5.259
K Pu U O
1 2 1 8
direct
0.000 0.000 0.000
0.500 0.251 0.500
0.500 0.749 0.500
0.000 0.500 0.000
0.195 0.298 0.194
0.195 0.702 0.194
0.316 0.500 0.682
0.338 0.000 0.660
0.662 0.000 0.340
0.684 0.500 0.318
0.805 0.298 0.806
0.805 0.702 0.806
```

uncorrected formation energy: -33.54 eV per formula unit
SG: No. 10

=====

## TaAlPt2 (PBE-GGA)

Data for a relaxed structure of TaAlPt2.

POSCAR file:
```
TaAlPt2
1.0
3.369 -3.439 0.000
3.369 3.439 0.000
0.000 0.000 2.787
Ta Al Pt
1 1 2
direct
0.000 0.000 0.000
0.500 0.500 0.000
0.000 0.500 0.500
0.500 0.000 0.500
```

calculated formation energy: -15.5 kcal/mol of atoms
SG: No. 65

=====

## CeNdHoSe3 (PBE-GGA)

Data for a relaxed structure of CeNdHoSe3.

POSCAR file:
```
CeNdHoSe3
1.0
8.063 0.000 0.000
0.000 4.084 0.000
-2.337 0.000 10.162
Ce Nd Ho Se
2 2 2 6
direct
0.176 0.250 0.117
0.824 0.750 0.883
0.182 0.250 0.704
0.818 0.750 0.296
0.336 0.750 0.403
0.664 0.250 0.597
0.093 0.250 0.393
0.209 0.750 0.924
0.466 0.750 0.683
0.534 0.250 0.317
0.791 0.250 0.076
0.907 0.750 0.607
```

uncorrected formation energy: -9.52 eV per formula unit
SG: No. 11

=====

## Sc2Zn3Ge (PBE-GGA)

Data for a relaxed structure of Sc2Zn3Ge.

POSCAR file:
```
Sc2Zn3Ge
1.0
3.218 0.000 0.000
0.000 4.340 0.000
0.000 0.000 7.500
Sc Zn Ge
2 3 1
direct
0.000 0.000 0.000
0.000 0.500 0.490
0.500 0.000 0.669
0.500 0.500 0.153
0.500 0.500 0.823
0.500 0.000 0.332
```

calculated formation energy: -10.3 kcal/mol of atoms
relative energy among the computed polymorphs: 23 meV/atom
SG: No. 25

=====

## Ac3Si2Ag (PBE-GGA)

Data for a relaxed structure of Ac3Si2Ag.

POSCAR file:
```
Ac3Si2Ag
1.0
12.536 0.000 0.000
0.000 4.574 0.000
0.000 0.000 12.713
Ac Si Ag
12 8 4
direct
0.059 0.250 0.122
0.123 0.750 0.560
0.201 0.250 0.804
0.299 0.750 0.304
0.377 0.250 0.060
0.441 0.750 0.622
0.559 0.250 0.378
0.623 0.750 0.940
0.701 0.250 0.696
0.799 0.750 0.196
0.877 0.250 0.440
0.941 0.750 0.878
0.025 0.750 0.317
0.189 0.750 0.993
0.311 0.250 0.493
0.475 0.250 0.817
0.525 0.750 0.183
0.689 0.750 0.507
0.811 0.250 0.007
0.975 0.250 0.683
0.130 0.250 0.368
0.370 0.750 0.868
0.630 0.250 0.132
0.870 0.750 0.632
```

uncorrected formation energy: -2.66 eV per formula unit
relative energy among the computed polymorphs: 0 meV/atom
SG: No. 62

=====

## Rb2ThO3 (PBE-GGA)

Data for a relaxed structure of Rb2ThO3.

POSCAR file:
```
Rb2ThO3
1.0
5.797 -3.857 0.000
5.797 3.857 0.000
-1.423 0.000 6.784
Rb Th O
4 2 6
direct
0.079 0.244 0.131
0.244 0.079 0.631
0.756 0.921 0.369
0.921 0.756 0.869
0.423 0.577 0.250
0.577 0.423 0.750
0.145 0.855 0.250
0.338 0.415 0.941
0.415 0.338 0.441
0.585 0.662 0.559
0.662 0.585 0.059
0.855 0.145 0.750
```

uncorrected formation energy: -14.72 eV per formula unit
SG: No. 15

=====

## Tl2InTeBr3 (PBE-GGA)

Data for a relaxed structure of Tl2InTeBr3.

POSCAR file:
```
Tl2InTeBr3
1.0
-2.815 2.922 8.039
2.815 -2.922 8.039
2.815 2.922 -8.039
Tl In Te Br
2 1 1 3
direct
0.129 0.129 0.000
0.871 0.871 0.000
0.500 0.500 0.000
0.000 0.500 0.500
0.330 0.330 0.000
0.500 0.000 0.500
0.670 0.670 0.000
```

uncorrected formation energy: -4.18 eV per formula unit
SG: No. 71

=====

## K2HS (PBE-GGA)

Data for a relaxed structure of K2HS.

POSCAR file:
```
K2HS
1.0
-5.618 5.618 1.844
5.618 -5.618 1.844
5.618 5.618 -1.844
K H S
4 2 2
direct
0.375 0.130 0.255
0.870 0.125 0.245
0.875 0.120 0.745
0.880 0.625 0.755
0.000 0.000 0.000
0.750 0.250 0.500
0.250 0.750 0.500
0.500 0.500 0.000
```

relative energy among the computed polymorphs: 114 meV/atom
SG: No. 122

=====

## Pm7DyTm12 (PBE-GGA)

Data for a relaxed structure of Pm7DyTm12.

POSCAR file:
```
Pm7DyTm12
1.0
5.938 3.428 5.381
-5.938 3.428 5.381
0.000 -6.856 5.381
Pm Dy Tm
7 1 12
direct
0.000 0.000 0.000
0.102 0.344 0.425
0.344 0.425 0.102
0.425 0.102 0.344
0.575 0.898 0.656
0.656 0.575 0.898
0.898 0.656 0.575
0.500 0.500 0.500
0.003 0.365 0.882
0.118 0.997 0.635
0.228 0.756 0.355
0.244 0.645 0.772
0.355 0.228 0.756
0.365 0.882 0.003
0.635 0.118 0.997
0.645 0.772 0.244
0.756 0.355 0.228
0.772 0.244 0.645
0.882 0.003 0.365
0.997 0.635 0.118
```

calculated formation energy: 5.4 kcal/mol of atoms
relative energy among the computed polymorphs: 0 meV/atom
SG: No. 148

=====

## SrLi2ZnSi (PBE-GGA)

Data for a relaxed structure of SrLi2ZnSi.

POSCAR file:
```
SrLi2ZnSi
1.0
4.905 0.000 0.000
0.000 4.905 0.000
0.000 0.000 4.798
Sr Li Zn Si
1 2 1 1
direct
0.000 0.000 0.000
0.000 0.500 0.500
0.500 0.000 0.500
0.500 0.500 0.000
0.500 0.500 0.500
```

uncorrected formation energy: -0.31 eV per formula unit
relative energy among the computed polymorphs: 0 meV/atom
SG: No. 123

=====

## BaCu2F7 (PBE-GGA)

Data for a relaxed structure of BaCu2F7.

POSCAR file:
```
BaCu2F7
1.0
3.147 -5.632 0.000
3.147 5.632 0.000
0.000 0.000 3.852
Ba Cu F
1 2 7
direct
0.000 0.000 0.000
0.327 0.673 0.500
0.673 0.327 0.500
0.049 0.335 0.500
0.318 0.682 0.000
0.335 0.049 0.500
0.500 0.500 0.500
0.665 0.951 0.500
0.682 0.318 0.000
0.951 0.665 0.500
```

uncorrected formation energy: -21.11 eV per formula unit
SG: No. 65

=====

## Er2Pd3Au3 (PBE-GGA)

Data for a relaxed structure of Er2Pd3Au3.

POSCAR file:
```
Er2Pd3Au3
1.0
2.446 -4.697 0.000
2.446 4.697 0.000
0.000 0.000 13.784
Er Pd Au
4 6 6
direct
0.241 0.759 0.610
0.241 0.759 0.890
0.759 0.241 0.110
0.759 0.241 0.390
0.403 0.597 0.072
0.403 0.597 0.428
0.453 0.547 0.750
0.547 0.453 0.250
0.597 0.403 0.572
0.597 0.403 0.928
0.084 0.916 0.083
0.084 0.916 0.417
0.243 0.757 0.250
0.757 0.243 0.750
0.916 0.084 0.583
0.916 0.084 0.917
```

calculated formation energy: -15.3 kcal/mol of atoms
relative energy among the computed polymorphs: 85 meV/atom
SG: No. 63

=====

## Y2AgHRh (PBE-GGA)

Data for a relaxed structure of Y2AgHRh.

POSCAR file:
```
Y2AgHRh
1.0
5.070 0.000 0.000
0.000 5.070 0.000
0.000 0.000 3.569
Y Ag H Rh
2 1 1 1
direct
0.000 0.500 0.000
0.500 0.000 0.000
0.000 0.000 0.500
0.500 0.500 0.000
0.500 0.500 0.500
```

relative energy among the computed polymorphs: 0 meV/atom
SG: No. 123

=====

## KZn2CoSn (PBE-GGA)

Data for a relaxed structure of KZn2CoSn.

POSCAR file:
```
KZn2CoSn
1.0
4.858 0.000 0.000
0.000 4.858 0.000
0.000 0.000 4.793
K Zn Co Sn
1 2 1 1
direct
0.000 0.000 0.000
0.000 0.500 0.500
0.500 0.000 0.500
0.500 0.500 0.500
0.500 0.500 0.000
```

calculated formation energy: -0.2 kcal/mol of atoms
SG: No. 123

=====

## Zr4TlN (PBE-GGA)

Data for a relaxed structure of Zr4TlN.

POSCAR file:
```
Zr4TlN
1.0
-3.569 3.569 5.502
3.569 -3.569 5.502
3.569 3.569 -5.502
Zr Tl N
8 2 2
direct
0.030 0.530 0.825
0.204 0.030 0.500
0.296 0.796 0.825
0.470 0.296 0.500
0.530 0.704 0.500
0.704 0.204 0.175
0.796 0.970 0.500
0.970 0.470 0.175
0.000 0.000 0.000
0.500 0.500 0.000
0.250 0.750 0.500
0.750 0.250 0.500
```

uncorrected formation energy: 0.02 eV per formula unit
relative energy among the computed polymorphs: 407 meV/atom
SG: No. 140

=====

## CrOsPb2 (PBE-GGA)

Data for a relaxed structure of CrOsPb2.

POSCAR file:
```
CrOsPb2
1.0
0.000 3.454 3.454
3.454 0.000 3.454
3.454 3.454 0.000
Cr Os Pb
1 1 2
direct
0.000 0.000 0.000
0.250 0.250 0.250
0.500 0.500 0.500
0.750 0.750 0.750
```

calculated formation energy: 23.0 kcal/mol of atoms
relative energy among the computed polymorphs: 598 meV/atom
SG: No. 216

=====

no.,D(E_F) (states/eV per cell)
1,3.2
2,3.4
3,2.1
4,3.1
5,6.8
6,1.8
7,15.2
8,3.7
9,23.6
10,0.0
11,1.8
12,2.7
13,35.6
14,2.6
15,4.4
16,7.5
17,2.6
18,1.9
19,15.2
20,4.9